# Cd2TeAs

A geometry-optimized Cd2TeAs structure (PBE, the Alexandria database).

Polymorph energy (0 for the lowest one) in meV/atom: 372
Symmetry: F-43m
DFT total energy in eV/atom: -2.1572
ΔE_f (raw) in eV/atom: 0.248
Total moment in μB/cell: 0.000

```
Cd2TeAs
1.0
-4.619 2.169 -0.714
-3.014 -1.572 -3.872
-4.286 -2.680 0.996
As Te Cd
1 1 2
direct
0.500 0.500 0.500
0.250 0.250 0.250
0.000 0.000 0.000
0.750 0.750 0.750
```

---

# Cd2TeAs

A geometry-optimized Cd2TeAs structure (PBE, the Alexandria database).

Polymorph energy (0 for the lowest one) in meV/atom: 268
Symmetry: Cmmm
DFT total energy in eV/atom: -2.2614
ΔE_f (raw) in eV/atom: 0.144
Total moment in μB/cell: 0.000

```
Cd2TeAs
1.0
3.535 0.025 0.000
-1.047 3.376 0.000
0.000 0.000 8.383
As Te Cd
1 1 2
direct
0.500 0.500 0.750
0.500 0.500 0.250
0.000 0.000 0.976
0.000 0.000 0.524
```

---

# CdTeAs

A geometry-optimized CdTeAs structure (PBE, the Alexandria database).

Polymorph energy (0 for the lowest one) in meV/atom: 238
Symmetry: I4mm
DFT total energy in eV/atom: -2.6127
ΔE_f (raw) in eV/atom: 0.289
Total moment in μB/cell: 0.000

```
CdTeAs
1.0
-7.044 4.090 0.694
-8.118 0.128 -0.954
7.327 -2.894 2.182
As Te Cd
1 1 1
direct
0.973 0.973 0.000
0.679 0.679 0.000
0.348 0.348 0.000
```

---

# Cd2TeAs

A geometry-optimized Cd2TeAs structure (PBE, the Alexandria database).

Polymorph energy (0 for the lowest one) in meV/atom: 341
Symmetry: P4/mmm
DFT total energy in eV/atom: -2.1880
ΔE_f (raw) in eV/atom: 0.217
Total moment in μB/cell: 0.000

```
Cd2TeAs
1.0
-0.604 4.156 -0.038
-4.118 -0.620 -2.405
-2.385 -0.308 4.164
As Te Cd
1 1 2
direct
0.500 0.000 0.500
0.500 0.500 0.000
0.000 0.000 0.000
0.000 0.500 0.500
```

---

# Cd2TeAs

A geometry-optimized Cd2TeAs structure (PBE, the Alexandria database).

Polymorph energy (0 for the lowest one) in meV/atom: 215
Symmetry: P2/m
DFT total energy in eV/atom: -2.3147
ΔE_f (raw) in eV/atom: 0.091
Total moment in μB/cell: 0.000

```
Cd2TeAs
1.0
4.213 0.000 0.000
0.000 4.126 -0.004
0.000 0.014 5.988
As Te Cd
1 1 2
direct
0.000 0.000 0.500
0.500 0.500 0.500
0.000 0.000 0.000
0.500 0.500 0.000
```

---

# Cd2TeAs

A geometry-optimized Cd2TeAs structure (PBE, the Alexandria database).

Polymorph energy (0 for the lowest one) in meV/atom: 361
Symmetry: Fm-3m
DFT total energy in eV/atom: -2.1683
ΔE_f (raw) in eV/atom: 0.237
Total moment in μB/cell: 0.000

```
Cd2TeAs
1.0
0.000 3.643 3.643
3.643 0.000 3.643
3.643 3.643 0.000
As Te Cd
1 1 2
direct
0.000 0.000 0.000
0.500 0.500 0.500
0.250 0.250 0.250
0.750 0.750 0.750
```